## 1
A relaxed structure of Nd2YHo2, computed with GGA-PBE.

Unit cell a=8.8741 b=8.8741 c=6.2599 alpha=90.00 beta=90.00 gamma=134.52
Closest atoms and distances in Å follow each position.
Fractional coordinates of all 10 atoms:
Nd1 0.1010 0.8990 0.7500  2 Nd 3.61, 4 Ho 3.78
Nd2 0.3295 0.6705 0.2500  2 Ho 3.15, 2 Y 3.20
Nd3 0.6705 0.3295 0.7500  2 Ho 3.15, 2 Y 3.20
Nd4 0.8990 0.1010 0.2500  2 Nd 3.61, 4 Ho 3.78
Y1 0.5000 0.5000 0.0000  2 Y 3.13, 2 Nd 3.20
Y2 0.5000 0.5000 0.5000  2 Y 3.13, 2 Nd 3.20
Ho1 0.0894 0.4317 0.7500  1 Nd 3.15, 1 Ho 3.29
Ho2 0.4317 0.0894 0.2500  1 Nd 3.15, 1 Ho 3.29
Ho3 0.5683 0.9106 0.7500  1 Nd 3.15, 1 Ho 3.29
Ho4 0.9106 0.5683 0.2500  1 Nd 3.15, 1 Ho 3.29

Calculated values
Symmetry ... No. 63

---

## 2
A relaxed structure of Nd2YHo2, computed with GGA-PBE.

Unit cell a=8.5515 b=8.5515 c=6.8141 alpha=102.85 beta=102.85 gamma=43.58
Closest atoms and distances in Å follow each position.
Fractional coordinates of all 10 atoms:
Nd1 0.1136 0.2871 0.1535  2 Y 3.57-3.67, 5 Nd 3.57-3.65, 5 Ho 3.58-3.71
Nd2 0.2871 0.1136 0.6535  2 Y 3.57-3.67, 5 Nd 3.57-3.65, 5 Ho 3.58-3.71
Nd3 0.7129 0.8864 0.3465  2 Y 3.57-3.67, 5 Nd 3.57-3.65, 5 Ho 3.58-3.71
Nd4 0.8864 0.7129 0.8465  2 Y 3.57-3.67, 5 Nd 3.57-3.65, 5 Ho 3.58-3.71
Y1 0.0840 0.9160 0.2500  6 Ho 3.54-3.66, 4 Nd 3.57-3.67, 2 Y 3.57
Y2 0.9160 0.0840 0.7500  6 Ho 3.54-3.66, 4 Nd 3.57-3.67, 2 Y 3.57
Ho1 0.3210 0.4843 0.5491  4 Ho 3.47-3.61, 3 Y 3.54-3.66, 5 Nd 3.58-3.71
Ho2 0.4843 0.3210 0.0491  4 Ho 3.47-3.61, 3 Y 3.54-3.66, 5 Nd 3.58-3.71
Ho3 0.5157 0.6790 0.9509  4 Ho 3.47-3.61, 3 Y 3.54-3.66, 5 Nd 3.58-3.71
Ho4 0.6790 0.5157 0.4509  4 Ho 3.47-3.61, 3 Y 3.54-3.66, 5 Nd 3.58-3.71

Calculated values
Symmetry ... No. 15

---

Last place for stability: 1

---

## 1
A relaxed structure of Nd7Y2Ho3, computed with GGA-PBE.

Unit cell a=6.4839 b=3.5731 c=17.6254 alpha=90.00 beta=95.88 gamma=90.00
Closest atoms and distances in Å follow each position.
Fractional coordinates of all 12 atoms:
Nd1 0.0000 0.0000 0.0000  8 Nd 3.57-3.68, 4 Ho 3.70
Nd2 0.2254 0.5000 0.1717  1 Y 3.50, 8 Nd 3.57-3.71, 3 Ho 3.65-3.66
Nd3 0.2584 0.5000 0.4946  2 Nd 3.12-3.37, 2 Y 3.38-3.47
Nd4 0.2769 0.0000 0.8336  2 Y 3.56, 7 Nd 3.57-3.71, 3 Ho 3.61-3.68
Nd5 0.7231 0.0000 0.1664  2 Y 3.56, 7 Nd 3.57-3.71, 3 Ho 3.61-3.68
Nd6 0.7416 0.5000 0.5054  2 Nd 3.12-3.37, 2 Y 3.38-3.47
Nd7 0.7746 0.5000 0.8283  1 Y 3.50, 8 Nd 3.57-3.71, 3 Ho 3.65-3.66
Y1 0.0595 0.5000 0.6701  5 Nd 3.38-3.56, 2 Y 3.57, 4 Ho 3.65-3.77
Y2 0.9405 0.5000 0.3299  5 Nd 3.38-3.56, 2 Y 3.57, 4 Ho 3.65-3.77
Ho1 0.4543 0.0000 0.3406  2 Ho 3.57, 7 Nd 3.59-3.74, 4 Y 3.65-3.77
Ho2 0.5000 0.5000 0.0000  2 Ho 3.57, 10 Nd 3.61-3.70
Ho3 0.5457 0.0000 0.6594  2 Ho 3.57, 7 Nd 3.59-3.74, 4 Y 3.65-3.77

Calculated values
Symmetry ... No. 10

---

## 2
A relaxed structure of Nd7Y2Ho3, computed with GGA-PBE.

Unit cell a=19.4378 b=19.4378 c=3.6407 alpha=90.00 beta=90.00 gamma=162.77
Closest atoms and distances in Å follow each position.
Fractional coordinates of all 12 atoms:
Nd1 0.0000 0.0000 0.0000  6 Nd 3.32-3.64, 4 Ho 3.43
Nd2 0.0724 0.9276 0.5000  8 Nd 3.32-3.64, 2 Y 3.46
Nd3 0.2324 0.7676 0.0000  1 Y 3.20, 2 Nd 3.21
Nd4 0.4071 0.5929 0.0000  6 Nd 3.52-3.64, 2 Y 3.62
Nd5 0.5929 0.4071 0.0000  6 Nd 3.52-3.64, 2 Y 3.62
Nd6 0.7676 0.2324 0.0000  1 Y 3.20, 2 Nd 3.21
Nd7 0.9276 0.0724 0.5000  8 Nd 3.32-3.64, 2 Y 3.46
Y1 0.1490 0.8510 0.0000  3 Nd 3.20-3.46
Y2 0.8510 0.1490 0.0000  3 Nd 3.20-3.46
Ho1 0.3152 0.6848 0.5000  2 Ho 3.64, 8 Nd 3.67-3.98, 4 Y 3.70
Ho2 0.5000 0.5000 0.5000  4 Nd 3.43, 2 Ho 3.64
Ho3 0.6848 0.3152 0.5000  2 Ho 3.64, 8 Nd 3.67-3.98, 4 Y 3.70

Calculated values
Symmetry ... No. 65

---

Last place for stability: 2

---

## 1
A relaxed structure of Nd5YHo2, computed with GGA-PBE.

Unit cell a=13.3605 b=13.3605 c=6.5862 alpha=91.49 beta=91.49 gamma=151.97
Closest atoms and distances in Å follow each position.
Fractional coordinates of all 16 atoms:
Nd1 0.1252 0.4954 0.9997  2 Nd 3.07-3.14, 1 Ho 3.31
Nd2 0.1251 0.8749 0.7500  4 Nd 3.14-3.24
Nd3 0.1598 0.3545 0.6851  3 Nd 3.07-3.24, 1 Ho 3.19
Nd4 0.3545 0.1598 0.1851  3 Nd 3.07-3.24, 1 Ho 3.19
Nd5 0.4954 0.1252 0.4997  2 Nd 3.07-3.14, 1 Ho 3.31
Nd6 0.5046 0.8748 0.5003  2 Nd 3.07-3.14, 1 Ho 3.31
Nd7 0.6455 0.8402 0.8149  3 Nd 3.07-3.24, 1 Ho 3.19
Nd8 0.8402 0.6455 0.3149  3 Nd 3.07-3.24, 1 Ho 3.19
Nd9 0.8749 0.1251 0.2500  4 Nd 3.14-3.24
Nd10 0.8748 0.5046 0.0003  2 Nd 3.07-3.14, 1 Ho 3.31
Y1 0.4544 0.5456 0.2500  4 Ho 3.67-3.97, 8 Nd 3.67-4.11, 2 Y 4.05
Y2 0.5456 0.4544 0.7500  4 Ho 3.67-3.97, 8 Nd 3.67-4.11, 2 Y 4.05
Ho1 0.0000 0.0000 0.0000  2 Nd 3.19, 2 Ho 3.29
Ho2 0.0000 0.0000 0.5000  2 Nd 3.19, 2 Ho 3.29
Ho3 0.0000 0.5000 0.5000  4 Nd 3.31-3.68
Ho4 0.5000 0.0000 0.0000  4 Nd 3.31-3.68

Calculated values
Symmetry ... No. 15

---

## 2
A relaxed structure of Nd5YHo2, computed with GGA-PBE.

Unit cell a=7.2510 b=14.5102 c=5.1362 alpha=90.00 beta=90.00 gamma=90.00
Closest atoms and distances in Å follow each position.
Fractional coordinates of all 16 atoms:
Nd1 0.0000 0.0000 0.0000  4 Ho 3.62, 2 Y 3.63, 6 Nd 3.63-3.64
Nd2 0.0018 0.2506 0.0000  1 Y 3.62, 7 Nd 3.63-3.64, 4 Ho 3.63-3.64
Nd3 0.2484 0.6244 0.5000  4 Ho 3.61-3.65, 2 Y 3.62, 6 Nd 3.63-3.64
Nd4 0.2516 0.1244 0.5000  4 Ho 3.61-3.65, 2 Y 3.62, 6 Nd 3.63-3.64
Nd5 0.4982 0.7506 0.0000  1 Y 3.62, 7 Nd 3.63-3.64, 4 Ho 3.63-3.64
Nd6 0.5000 0.5000 0.0000  4 Ho 3.62, 2 Y 3.63, 6 Nd 3.63-3.64
Nd7 0.5018 0.2494 0.0000  1 Y 3.62, 7 Nd 3.63-3.64, 4 Ho 3.63-3.64
Nd8 0.7484 0.8756 0.5000  4 Ho 3.61-3.65, 2 Y 3.62, 6 Nd 3.63-3.64
Nd9 0.7516 0.3756 0.5000  4 Ho 3.61-3.65, 2 Y 3.62, 6 Nd 3.63-3.64
Nd10 0.9982 0.7494 0.0000  1 Y 3.62, 7 Nd 3.63-3.64, 4 Ho 3.63-3.64
Y1 0.0000 0.5000 0.0000  8 Nd 3.62-3.63, 4 Ho 3.63
Y2 0.5000 0.0000 0.0000  8 Nd 3.62-3.63, 4 Ho 3.63
Ho1 0.2490 0.8757 0.5000  10 Nd 3.61-3.65, 2 Y 3.63
Ho2 0.2510 0.3757 0.5000  10 Nd 3.61-3.65, 2 Y 3.63
Ho3 0.7490 0.6243 0.5000  10 Nd 3.61-3.65, 2 Y 3.63
Ho4 0.7510 0.1243 0.5000  10 Nd 3.61-3.65, 2 Y 3.63

Calculated values
Symmetry ... No. 55

---

Last place for stability: 1

---

## 1
A relaxed structure of Nd5Y4Ho, computed with GGA-PBE.

Unit cell a=8.1071 b=8.1071 c=8.1071 alpha=98.15 beta=98.15 gamma=135.76
Closest atoms and distances in Å follow each position.
Fractional coordinates of all 10 atoms:
Nd1 0.0000 0.0000 0.0000  1 Ho 2.84
Nd2 0.5423 0.5430 0.6232  1 Ho 3.26, 3 Nd 3.27-3.57, 2 Y 3.31
Nd3 0.5430 0.9197 0.0007  1 Ho 3.26, 3 Nd 3.27-3.57, 2 Y 3.31
Nd4 0.9190 0.5423 0.9993  1 Ho 3.26, 3 Nd 3.27-3.57, 2 Y 3.31
Nd5 0.9197 0.9190 0.3768  1 Ho 3.26, 3 Nd 3.27-3.57, 2 Y 3.31
Y1 0.2432 0.5679 0.3240  2 Nd 3.31, 1 Ho 3.70
Y2 0.2439 0.9193 0.6760  2 Nd 3.31, 1 Ho 3.70
Y3 0.5679 0.2439 0.3247  2 Nd 3.31, 1 Ho 3.70
Y4 0.9193 0.2432 0.6753  2 Nd 3.31, 1 Ho 3.70
Ho1 0.4655 0.4655 0.0000  1 Nd 2.84

Calculated values
Symmetry ... No. 79

---

## 2
A relaxed structure of Nd5Y4Ho, computed with GGA-PBE.

Unit cell a=3.5818 b=9.3208 c=11.0678 alpha=76.65 beta=89.99 gamma=79.03
Closest atoms and distances in Å follow each position.
Fractional coordinates of all 10 atoms:
Nd1 0.0000 0.0000 0.0000  4 Y 3.34, 6 Nd 3.53-3.58
Nd2 0.3330 0.3381 0.9745  4 Y 3.48-3.86, 6 Nd 3.53-3.63
Nd3 0.3389 0.3237 0.5856  4 Y 3.48-3.78, 4 Nd 3.58-3.79, 2 Ho 3.77
Nd4 0.6611 0.6763 0.4144  4 Y 3.48-3.78, 4 Nd 3.58-3.79, 2 Ho 3.77
Nd5 0.6670 0.6619 0.0255  4 Y 3.48-3.86, 6 Nd 3.53-3.63
Y1 0.1752 0.6457 0.7199  4 Y 3.43-3.58, 4 Nd 3.48-3.78, 1 Ho 3.57
Y2 0.4761 0.0476 0.2430  2 Ho 3.30, 4 Nd 3.34-3.49, 4 Y 3.43-3.58
Y3 0.5239 0.9524 0.7570  2 Ho 3.30, 4 Nd 3.34-3.49, 4 Y 3.43-3.58
Y4 0.8248 0.3543 0.2801  4 Y 3.43-3.58, 4 Nd 3.48-3.78, 1 Ho 3.57
Ho1 0.0000 0.0000 0.5000  6 Y 3.30-3.57, 2 Ho 3.58

Calculated values
Symmetry ... No. 2

---

Last place for stability: 1